# 1
VASP calculation (PBE) on a relaxed structure of CaPr8Ho4.

Results
D(E_F) in states/eV/cell: 19.548
ΔH_f (0 K) in eV/atom: 0.038
Crystal system: monoclinic

Cell lengths 6.347, 6.347, 15.109 Å; angles 93.65, 93.65, 48.33 degrees
Fractional coordinates of all 13 atoms:
Ca1 0.000 0.000 0.000
Pr1 0.076 0.076 0.766
Pr2 0.234 0.234 0.311
Pr3 0.306 0.306 0.080
Pr4 0.459 0.459 0.614
Pr5 0.541 0.541 0.386
Pr6 0.694 0.694 0.920
Pr7 0.766 0.766 0.689
Pr8 0.924 0.924 0.234
Ho1 0.152 0.152 0.537
Ho2 0.379 0.379 0.841
Ho3 0.621 0.621 0.159
Ho4 0.848 0.848 0.463

=====

# 2
VASP calculation (PBE) on a relaxed structure of TlInN.

Results
D(E_F) in states/eV/cell: 0.159
Energy relative to the elements, uncorrected in eV per formula unit: 1.14
Crystal system: triclinic

Cell lengths 3.442, 5.742, 8.734 Å; angles 75.72, 88.78, 72.62 degrees
Fractional coordinates of all 6 atoms:
Tl1 0.183 0.164 0.132
Tl2 0.817 0.836 0.868
In1 0.368 0.766 0.475
In2 0.632 0.234 0.525
N1 0.242 0.001 0.652
N2 0.758 0.999 0.348

=====

# 3
VASP calculation (PBE) on a relaxed structure of Ni3Ir2.

Results
D(E_F) in states/eV/cell: 18.158
ΔH_f (0 K) in eV/atom: 0.110
Crystal system: orthorhombic

Cell lengths 6.708, 4.906, 7.655 Å; angles 59.90, 39.26, 80.84 degrees
Fractional coordinates of all 10 atoms:
Ni1 0.000 0.000 0.000
Ni2 0.250 0.250 0.250
Ni3 0.410 0.548 0.396
Ni4 0.548 0.410 0.645
Ni5 0.605 0.854 0.702
Ni6 0.854 0.605 0.840
Ir1 0.138 0.771 0.264
Ir2 0.424 0.986 0.479
Ir3 0.771 0.138 0.826
Ir4 0.986 0.424 0.112

=====

# 4
VASP calculation (PBE) on a relaxed structure of CuP2IrCl.

Results
D(E_F) in states/eV/cell: 3.296
Energy relative to the elements, uncorrected in eV per formula unit: 5.99
Crystal system: tetragonal

Cell lengths 4.365, 4.365, 4.584 Å; angles 90.00, 90.00, 90.00 degrees
Fractional coordinates of all 5 atoms:
Cu1 0.000 0.000 0.000
P1 0.000 0.500 0.000
P2 0.500 0.000 0.000
Ir1 0.500 0.500 0.500
Cl1 0.000 0.000 0.500

=====

# 5
VASP calculation (PBE) on a relaxed structure of Co2AgOs.

Results
D(E_F) in states/eV/cell: 10.132
ΔH_f (0 K) in eV/atom: 0.624
Crystal system: tetragonal

Cell lengths 3.669, 3.669, 7.863 Å; angles 90.00, 90.00, 90.00 degrees
Fractional coordinates of all 8 atoms:
Co1 0.000 0.000 0.000
Co2 0.000 0.500 0.250
Co3 0.500 0.000 0.750
Co4 0.500 0.500 0.500
Ag1 0.000 0.000 0.500
Ag2 0.500 0.500 0.000
Os1 0.000 0.500 0.750
Os2 0.500 0.000 0.250

=====

# 6
VASP calculation (PBE) on a relaxed structure of CsLiPuBr5.

Results
D(E_F) in states/eV/cell: 21.892
Energy relative to the elements, uncorrected in eV per formula unit: -12.83
Crystal system: monoclinic

Cell lengths 8.179, 8.179, 10.936 Å; angles 103.80, 103.80, 106.73 degrees
Fractional coordinates of all 16 atoms:
Cs1 0.157 0.843 0.750
Cs2 0.843 0.157 0.250
Li1 0.194 0.806 0.250
Li2 0.806 0.194 0.750
Pu1 0.500 0.500 0.000
Pu2 0.500 0.500 0.500
Br1 0.126 0.270 0.918
Br2 0.201 0.606 0.400
Br3 0.270 0.126 0.418
Br4 0.394 0.799 0.100
Br5 0.432 0.568 0.750
Br6 0.568 0.432 0.250
Br7 0.606 0.201 0.900
Br8 0.730 0.874 0.582
Br9 0.799 0.394 0.600
Br10 0.874 0.730 0.082

=====

> Which formula does entry 3 have?

Ni3Ir2

=====

Please write out number 3 again, unchanged.
VASP calculation (PBE) on a relaxed structure of Ni3Ir2.

Results
D(E_F) in states/eV/cell: 18.158
ΔH_f (0 K) in eV/atom: 0.110
Crystal system: orthorhombic

Cell lengths 6.708, 4.906, 7.655 Å; angles 59.90, 39.26, 80.84 degrees
Fractional coordinates of all 10 atoms:
Ni1 0.000 0.000 0.000
Ni2 0.250 0.250 0.250
Ni3 0.410 0.548 0.396
Ni4 0.548 0.410 0.645
Ni5 0.605 0.854 0.702
Ni6 0.854 0.605 0.840
Ir1 0.138 0.771 0.264
Ir2 0.424 0.986 0.479
Ir3 0.771 0.138 0.826
Ir4 0.986 0.424 0.112

=====

> The highest D(E_F) belongs to which entry?

CsLiPuBr5